Entry 1:
The following is a GGA-PBEsol calculation of crystalline CeSiIr2 at its relaxed geometry, from Alexandria.

abc: 3.9996 3.9996 18.0949
angles: 96.35 96.35 90.00
With the nearest neighbours (Å) after each atom.
Sites, in units of the cell vectors:
Ir: 0.7500 0.2500 0.5000  4 Si 2.38
Ir: 0.1477 0.1477 0.2954  1 Si 2.36, 2 Ir 2.58
Ir: 0.2500 0.7500 0.5000  4 Si 2.38
Ir: 0.3977 0.8977 0.7954  1 Si 2.36, 2 Ir 2.58
Ir: 0.1023 0.6023 0.2046  1 Si 2.36, 2 Ir 2.58
Ir: 0.0000 0.0000 0.0000  4 Si 2.38
Ir: 0.5000 0.5000 0.0000  4 Si 2.38
Ir: 0.8523 0.8523 0.7046  1 Si 2.36, 2 Ir 2.58
Si: 0.2137 0.2137 0.4273  5 Ir 2.36-2.38
Si: 0.4637 0.9637 0.9273  5 Ir 2.36-2.38
Si: 0.7863 0.7863 0.5727  5 Ir 2.36-2.38
Si: 0.0363 0.5363 0.0727  5 Ir 2.36-2.38
Ce: 0.3244 0.3244 0.6488  10 Ir 3.00-3.33, 4 Si 3.14
Ce: 0.6756 0.6756 0.3512  10 Ir 3.00-3.33, 4 Si 3.14
Ce: 0.9256 0.4256 0.8512  10 Ir 3.00-3.33, 4 Si 3.14
Ce: 0.5744 0.0744 0.1488  10 Ir 3.00-3.33, 4 Si 3.14

Output
Its space group is No. 141. As for the raw formation energy: -92.3 kJ per mole of atoms. The crystal system is tetragonal.

Entry 2:
The following is a GGA-PBEsol calculation of crystalline CeSi2Ir3 at its relaxed geometry, from Alexandria.

abc: 3.6983 5.5093 5.5093
angles: 120.00 90.00 90.00
With the nearest neighbours (Å) after each atom.
Sites, in units of the cell vectors:
Ir: 0.5000 0.5000 0.0000  4 Si 2.44
Ir: 0.5000 0.0000 0.5000  4 Si 2.44
Ir: 0.5000 0.5000 0.5000  4 Si 2.44
Si: 0.0000 0.3333 0.6667  6 Ir 2.44
Si: 0.0000 0.6667 0.3333  6 Ir 2.44
Ce: 0.0000 0.0000 0.0000  6 Si 3.18, 12 Ir 3.32

Output
Its space group is No. 191. As for the raw formation energy: -87.1 kJ per mole of atoms. The crystal system is hexagonal.

Entry 3:
The following is a GGA-PBEsol calculation of crystalline CeSn2Ir2 at its relaxed geometry, from Alexandria.

abc: 4.3778 4.3778 10.8950
angles: 90.00 90.00 90.00
With the nearest neighbours (Å) after each atom.
Sites, in units of the cell vectors:
Ce: 0.5000 0.0000 0.2484  8 Ir 3.34-3.48, 8 Sn 3.35-3.51
Ce: 0.0000 0.5000 0.7516  8 Ir 3.34-3.48, 8 Sn 3.35-3.51
Sn: 0.5000 0.5000 0.5000  4 Ir 2.64
Sn: 0.5000 0.0000 0.8686  5 Ir 2.54-2.62
Sn: 0.0000 0.5000 0.1314  5 Ir 2.54-2.62
Sn: 0.0000 0.0000 0.5000  4 Ir 2.64
Ir: 0.5000 0.5000 0.0000  4 Sn 2.62
Ir: 0.0000 0.5000 0.3645  5 Sn 2.54-2.64
Ir: 0.5000 0.0000 0.6355  5 Sn 2.54-2.64
Ir: 0.0000 0.0000 0.0000  4 Sn 2.62

Output
For the formation energy, the calculation gives -0.49 eV/atom. Its space group is No. 129. The crystal system is tetragonal.

Entry 4:
The following is a GGA-PBEsol calculation of crystalline CeSnIr at its relaxed geometry, from Alexandria.

abc: 4.0281 7.3822 7.3822
angles: 120.00 90.00 90.00
With the nearest neighbours (Å) after each atom.
Sites, in units of the cell vectors:
Sn: 0.5000 0.2535 0.0000  4 Ir 2.75-2.80
Sn: 0.5000 0.7465 0.7465  4 Ir 2.75-2.80
Sn: 0.5000 0.0000 0.2535  4 Ir 2.75-2.80
Ce: 0.0000 0.0000 0.5869  5 Ir 3.00-3.05, 6 Sn 3.18-3.34
Ce: 0.0000 0.5869 0.0000  5 Ir 3.00-3.05, 6 Sn 3.18-3.34
Ce: 0.0000 0.4131 0.4131  5 Ir 3.00-3.05, 6 Sn 3.18-3.34
Ir: 0.5000 0.6667 0.3333  3 Sn 2.80, 6 Ce 3.00
Ir: 0.5000 0.3333 0.6667  3 Sn 2.80, 6 Ce 3.00
Ir: 0.0000 0.0000 0.0000  6 Sn 2.75, 3 Ce 3.05

Output
For the formation energy, the calculation gives -0.82 eV/atom. Its space group is No. 189. The crystal system is hexagonal.

Entry 5:
The following is a GGA-PBEsol calculation of crystalline K5NaCe2S6O24 at its relaxed geometry, from Alexandria.

abc: 7.7170 9.1935 9.3448
angles: 119.47 99.95 69.43
With the nearest neighbours (Å) after each atom.
Sites, in units of the cell vectors:
O: 0.6384 0.8581 0.0000  1 S 1.50
O: 0.3616 0.1419 0.0000  1 S 1.50
O: 0.0214 0.2307 0.0000  1 S 1.46
O: 0.2212 0.5828 0.2012  1 S 1.47
O: 0.7788 0.6185 0.2012  1 S 1.47
O: 0.7788 0.4172 0.7988  1 S 1.47
O: 0.4864 0.5794 0.7243  1 S 1.49
O: 0.5136 0.1449 0.7243  1 S 1.49
O: 0.2212 0.3815 0.7988  1 S 1.47
O: 0.2327 0.0717 0.6381  1 S 1.50
O: 0.5136 0.4206 0.2757  1 S 1.49
O: 0.7673 0.5664 0.6381  1 S 1.50
O: 0.3176 0.2180 0.5163  1 S 1.49
O: 0.2327 0.4336 0.3619  1 S 1.50
O: 0.6824 0.7820 0.4837  1 S 1.49
O: 0.9786 0.7693 0.0000  1 S 1.46
O: 0.2063 0.9244 0.8491  1 S 1.49
O: 0.7937 0.0756 0.1509  1 S 1.49
O: 0.7673 0.9283 0.3619  1 S 1.50
O: 0.2063 0.0753 0.1509  1 S 1.49
O: 0.4864 0.8551 0.2757  1 S 1.49
O: 0.3176 0.7017 0.4837  1 S 1.49
O: 0.6824 0.2983 0.5163  1 S 1.49
O: 0.7937 0.9247 0.8491  1 S 1.49
Na: 0.0000 0.5000 0.0000  6 O 2.33-2.42
S: 0.6795 0.7931 0.3294  4 O 1.47-1.50
S: 0.3205 0.5362 0.3294  4 O 1.47-1.50
S: 0.1932 0.0957 0.0000  4 O 1.46-1.50
S: 0.6795 0.4638 0.6706  4 O 1.47-1.50
S: 0.3205 0.2069 0.6706  4 O 1.47-1.50
S: 0.8068 0.9043 0.0000  4 O 1.46-1.50
K: 0.5000 0.5000 0.0000  8 O 2.75-2.98
K: 0.8792 0.0698 0.6893  7 O 2.68-2.95
K: 0.1208 0.6195 0.6893  7 O 2.68-2.95
K: 0.8792 0.3805 0.3107  7 O 2.68-2.95
K: 0.1208 0.9302 0.3107  7 O 2.68-2.95
Ce: 0.5000 0.1417 0.2834  10 O 2.46-2.68
Ce: 0.5000 0.8583 0.7166  10 O 2.46-2.68

Output
Its space group is No. 12. As for the raw formation energy: -195.8 kJ per mole of atoms. The crystal system is monoclinic.

Entry 6:
The following is a GGA-PBEsol calculation of crystalline K2CeP2O8 at its relaxed geometry, from Alexandria.

abc: 6.8386 6.8386 10.1051
angles: 109.78 109.78 90.00
With the nearest neighbours (Å) after each atom.
Sites, in units of the cell vectors:
O: 0.4509 0.2719 0.5438  1 P 1.55
O: 0.4459 0.1273 0.2545  1 P 1.55
O: 0.5219 0.8429 0.0438  1 P 1.55
O: 0.7991 0.4781 0.9562  1 P 1.55
O: 0.8727 0.5541 0.7455  1 P 1.55
O: 0.8086 0.1273 0.2545  1 P 1.55
O: 0.3773 0.5586 0.7545  1 P 1.55
O: 0.7281 0.5491 0.4562  1 P 1.55
O: 0.5219 0.2009 0.0438  1 P 1.55
O: 0.8727 0.1914 0.7455  1 P 1.55
O: 0.4414 0.6227 0.2455  1 P 1.55
O: 0.8041 0.6227 0.2455  1 P 1.55
O: 0.7281 0.9071 0.4562  1 P 1.55
O: 0.0929 0.2719 0.5438  1 P 1.55
O: 0.1571 0.4781 0.9562  1 P 1.55
O: 0.3773 0.1959 0.7545  1 P 1.55
Ce: 0.7500 0.2500 0.5000  4 O 2.23
Ce: 0.5000 0.5000 0.0000  4 O 2.23
K: 0.1250 0.8750 0.7500  4 O 2.77
K: 0.1250 0.8750 0.2500  4 O 2.77
K: 0.6250 0.8750 0.7500  4 O 2.77
K: 0.1250 0.3750 0.2500  4 O 2.77
P: 0.3252 0.3252 0.6504  4 O 1.55
P: 0.9248 0.4248 0.8496  4 O 1.55
P: 0.6748 0.6748 0.3496  4 O 1.55
P: 0.5752 0.0752 0.1504  4 O 1.55

Output
Its space group is No. 141. As for the raw formation energy: -250.2 kJ per mole of atoms. The crystal system is tetragonal.

Number 1: V 17.9 Å³/atom, magnetization 0.095 μB/atom. Number 2: V 16.2 Å³/atom, magnetization 0.058 μB/atom. Number 3: V 20.9 Å³/atom, magnetization 0.130 μB/atom. Number 4: V 21.1 Å³/atom, magnetization 0.081 μB/atom. Number 5: V 14.2 Å³/atom, magnetization 0.053 μB/atom. Number 6: V 16.0 Å³/atom, magnetization 0.000 μB/atom.